DFT (PBE+U) results for an optimized crystal structure of Ca2VOsO8.

Output
- density of states at the Fermi level (states/eV per cell) = 2.0
- DFT total energy (eV/atom) = -7.0245
- calculated density (g/cm3) = 4.73

CIF file:
```
data_Ca2VOsO8
_cell_length_a 5.0228
_cell_length_b 6.2429
_cell_length_c 5.0314
_cell_angle_alpha 90.00
_cell_angle_beta 92.11
_cell_angle_gamma 90.00
_symmetry_space_group_name_H-M 'P 1 2/m 1'
_symmetry_Int_Tables_number 10
loop_
_symmetry_equiv_pos_as_xyz
'x,y,z'
'-x,-y,-z'
'-x,y,-z'
'x,-y,z'
loop_
_atom_site_label
_atom_site_type_symbol
_atom_site_fract_x
_atom_site_fract_y
_atom_site_fract_z
Ca1 Ca 0.0000 0.2451 0.0000
V1 V 0.5000 0.0000 0.5000
Os1 Os 0.5000 0.5000 0.5000
O1 O 0.2381 0.5000 0.2366
O2 O 0.2450 0.0000 0.2436
O3 O 0.3284 0.2573 0.6700
```